# CuNiAs2 PBE relaxed
data_CuNiAs2
_chemical_formula_sum 'Cu1 Ni1 As2'
_space_group_name_H-M_alt 'P 1'
_space_group_IT_number 1
_space_group_name_Hall 'P 1'
_cell_length_a 2.689
_cell_length_b 3.561
_cell_length_c 6.768
_cell_angle_alpha 90.00
_cell_angle_beta 90.00
_cell_angle_gamma 90.00
loop_
_atom_site_label
_atom_site_fract_x
_atom_site_fract_y
_atom_site_fract_z
As1 0.500 0.500 0.342
As2 0.000 0.000 0.904
Cu1 0.000 0.000 0.526
Ni1 0.500 0.500 0.728
# D(E_F) = 2.17 states/eV/f.u.
# total magnetization = 0.0 μB per formula unit
# energy relative to the elements = 5 meV/atom
# V = 16.2 Å³/atom

=====

# TbCe2Lu PBE relaxed
data_TbCe2Lu
_chemical_formula_sum 'Tb1 Ce2 Lu1'
_space_group_name_H-M_alt 'P 1'
_space_group_IT_number 1
_space_group_name_Hall 'P 1'
_cell_length_a 3.458
_cell_length_b 3.458
_cell_length_c 10.023
_cell_angle_alpha 90.00
_cell_angle_beta 90.00
_cell_angle_gamma 90.00
loop_
_atom_site_label
_atom_site_fract_x
_atom_site_fract_y
_atom_site_fract_z
Tb1 0.500 0.500 0.500
Lu1 0.500 0.500 0.000
Ce1 0.000 0.000 0.247
Ce2 0.000 0.000 0.753
# D(E_F) = 10.33 states/eV/f.u.
# total magnetization = 1.5 μB per formula unit
# energy relative to the elements = 105 meV/atom
# V = 30.0 Å³/atom
# energy above the most stable polymorph in this dataset = 18.5 meV/atom

=====

# PrSb3Au PBE relaxed
data_PrSb3Au
_chemical_formula_sum 'Pr4 Sb12 Au4'
_space_group_name_H-M_alt 'P 1'
_space_group_IT_number 1
_space_group_name_Hall 'P 1'
_cell_length_a 6.420
_cell_length_b 6.362
_cell_length_c 13.203
_cell_angle_alpha 90.00
_cell_angle_beta 90.00
_cell_angle_gamma 90.00
loop_
_atom_site_label
_atom_site_fract_x
_atom_site_fract_y
_atom_site_fract_z
Au1 0.500 0.250 0.117
Au2 0.000 0.250 0.117
Au3 0.000 0.750 0.883
Au4 0.500 0.750 0.883
Pr1 0.750 0.506 0.687
Pr2 0.250 0.994 0.687
Pr3 0.750 0.006 0.313
Pr4 0.250 0.494 0.313
Sb1 0.750 0.836 0.059
Sb2 0.250 0.987 0.244
Sb3 0.000 0.750 0.501
Sb4 0.500 0.750 0.501
Sb5 0.250 0.664 0.059
Sb6 0.500 0.250 0.499
Sb7 0.750 0.513 0.244
Sb8 0.750 0.336 0.941
Sb9 0.250 0.164 0.941
Sb10 0.250 0.487 0.756
Sb11 0.000 0.250 0.499
Sb12 0.750 0.013 0.756
# D(E_F) = 1.98 states/eV/f.u.
# total magnetization = 0.0 μB per formula unit
# formation energy (no corrections) = -0.463 eV per atom
# V = 27.0 Å³/atom

=====

# SmCd2Pb PBE relaxed
data_SmCd2Pb
_chemical_formula_sum 'Sm1 Cd2 Pb1'
_space_group_name_H-M_alt 'P 1'
_space_group_IT_number 1
_space_group_name_Hall 'P 1'
_cell_length_a 5.848
_cell_length_b 5.301
_cell_length_c 5.301
_cell_angle_alpha 60.00
_cell_angle_beta 90.00
_cell_angle_gamma 90.00
loop_
_atom_site_label
_atom_site_fract_x
_atom_site_fract_y
_atom_site_fract_z
Cd1 0.500 0.000 0.000
Cd2 0.500 0.333 0.333
Pb1 0.500 0.667 0.667
Sm1 0.000 0.000 0.000
# D(E_F) = 4.31 states/eV/f.u.
# total magnetization = 0.0 μB per formula unit
# energy relative to the elements = 402 meV/atom
# V = 35.6 Å³/atom
# energy above the most stable polymorph in this dataset = 763.8 meV/atom

=====

# RbCd7Pb12 PBE relaxed
data_RbCd7Pb12
_chemical_formula_sum 'Rb1 Cd7 Pb12'
_space_group_name_H-M_alt 'P 1'
_space_group_IT_number 1
_space_group_name_Hall 'P 1'
_cell_length_a 9.923
_cell_length_b 9.923
_cell_length_c 9.923
_cell_angle_alpha 109.47
_cell_angle_beta 109.47
_cell_angle_gamma 109.47
loop_
_atom_site_label
_atom_site_fract_x
_atom_site_fract_y
_atom_site_fract_z
Pb1 0.108 0.358 0.750
Pb2 0.358 0.750 0.108
Pb3 0.892 0.642 0.250
Pb4 0.642 0.750 0.392
Pb5 0.642 0.250 0.892
Pb6 0.250 0.608 0.358
Pb7 0.358 0.250 0.608
Pb8 0.392 0.642 0.750
Pb9 0.608 0.358 0.250
Pb10 0.750 0.108 0.358
Pb11 0.750 0.392 0.642
Pb12 0.250 0.892 0.642
Cd1 0.000 0.000 0.500
Cd2 0.500 0.000 0.000
Cd3 0.500 0.500 0.500
Cd4 0.000 0.500 0.000
Cd5 0.000 0.500 0.500
Cd6 0.500 0.500 0.000
Cd7 0.500 0.000 0.500
Rb1 0.000 0.000 0.000
# D(E_F) = 5.22 states/eV/f.u.
# total magnetization = 0.0 μB per formula unit
# energy relative to the elements = 105 meV/atom
# V = 37.6 Å³/atom

=====

# CuCl2O2 PBE relaxed
data_CuCl2O2
_chemical_formula_sum 'Cu1 Cl2 O2'
_space_group_name_H-M_alt 'P 1'
_space_group_IT_number 1
_space_group_name_Hall 'P 1'
_cell_length_a 4.889
_cell_length_b 4.889
_cell_length_c 4.886
_cell_angle_alpha 59.98
_cell_angle_beta 59.98
_cell_angle_gamma 90.00
loop_
_atom_site_label
_atom_site_fract_x
_atom_site_fract_y
_atom_site_fract_z
O1 0.412 0.412 0.176
O2 0.588 0.588 0.824
Cl1 0.750 0.250 0.500
Cl2 0.250 0.750 0.500
Cu1 0.000 0.000 0.000
# D(E_F) = 2.23 states/eV/f.u.
# total magnetization = 1.0 μB per formula unit
# formation energy (no corrections) = 0.302 eV per atom
# V = 16.5 Å³/atom
# energy above the most stable polymorph in this dataset = 591.6 meV/atom

=====

# YTe PBE relaxed
data_YTe
_chemical_formula_sum 'Y2 Te2'
_space_group_name_H-M_alt 'P 1'
_space_group_IT_number 1
_space_group_name_Hall 'P 1'
_cell_length_a 4.213
_cell_length_b 4.213
_cell_length_c 8.055
_cell_angle_alpha 74.84
_cell_angle_beta 74.84
_cell_angle_gamma 60.00
loop_
_atom_site_label
_atom_site_fract_x
_atom_site_fract_y
_atom_site_fract_z
Te1 0.511 0.511 0.467
Te2 0.342 0.342 0.974
Y1 0.097 0.097 0.710
Y2 0.923 0.923 0.231
# D(E_F) = 0.77 states/eV/f.u.
# total magnetization = 0.0 μB per formula unit
# formation energy (no corrections) = -1.334 eV per atom
# V = 29.5 Å³/atom

=====

# SmCuBi PBE relaxed
data_SmCuBi
_chemical_formula_sum 'Sm2 Cu2 Bi2'
_space_group_name_H-M_alt 'P 1'
_space_group_IT_number 1
_space_group_name_Hall 'P 1'
_cell_length_a 4.532
_cell_length_b 5.898
_cell_length_c 6.617
_cell_angle_alpha 99.77
_cell_angle_beta 89.89
_cell_angle_gamma 67.39
loop_
_atom_site_label
_atom_site_fract_x
_atom_site_fract_y
_atom_site_fract_z
Cu1 0.904 0.192 0.928
Cu2 0.096 0.808 0.072
Sm1 0.377 0.244 0.233
Sm2 0.623 0.756 0.767
Bi1 0.335 0.333 0.733
Bi2 0.665 0.667 0.267
# D(E_F) = 0.62 states/eV/f.u.
# total magnetization = 0.0 μB per formula unit
# energy relative to the elements = -452 meV/atom
# V = 26.7 Å³/atom